Below is an optimized crystal structure of CoAg2BiPb, with properties calculated at the PBE level.

Geometry as POSCAR:
```
CoAg2BiPb
1.0
5.2248 0.0000 0.0000
0.0000 5.2248 0.0000
0.0000 0.0000 6.0703
Co Ag Bi Pb
1 2 1 1
Direct
0.0000 0.0000 0.0000
0.0000 0.5000 0.5000
0.5000 0.0000 0.5000
0.5000 0.5000 0.0000
0.5000 0.5000 0.5000
```

Energy of formation from the pure elements = 1.29 eV/atom
Energy = -2.785 eV/atom
D(E_F) = 1.219 states/eV/atom
Energy above the most stable polymorph in this dataset = 413 kJ/mol of formula units
Volume = 33.1 Å³ per atom